Below is a relaxed Pm2HoIn9 crystal, with properties calculated at the PBE level.

The structure in CIF format:
```
data_Pm2HoIn9
_chemical_formula_sum 'Pm2 Ho1 In9'
_cell_length_a 4.676
_cell_length_b 4.676
_cell_length_c 14.016
_cell_angle_alpha 90.00
_cell_angle_beta 90.00
_cell_angle_gamma 90.00
_symmetry_space_group_name_H-M 'P 4/m m m'
_symmetry_Int_Tables_number 123
_symmetry_space_group_name_Hall '-P 4 2'
loop_
_atom_site_label
_atom_site_fract_x
_atom_site_fract_y
_atom_site_fract_z
Pm1 0.000 0.000 0.168
Ho1 0.000 0.000 0.500
In1 0.000 0.500 0.000
In2 0.000 0.500 0.337
In3 0.500 0.500 0.167
In4 0.500 0.500 0.500
```

Summary:
theoretical density	8.1	Mg/m³
formation enthalpy at 0 K	-445	meV/atom